[1]
# CuIr2Rh6 (PBE-GGA, optimized geometry)
# ΔE to the lowest computed polymorph	0.000	eV/atom
# formation energy	25	meV per atom
# total magnetic moment	0.0	μB per cell
data_CuIr2Rh6
_chemical_formula_sum 'Cu2 Ir4 Rh12'
_symmetry_space_group_name_H-M 'C 1 2/m 1'
_symmetry_Int_Tables_number 12
_cell_length_a 8.568
_cell_length_b 3.832
_cell_length_c 8.140
_cell_angle_alpha 90.00
_cell_angle_beta 108.32
_cell_angle_gamma 90.00
loop_
_symmetry_equiv_pos_as_xyz
'x,y,z'
'-x,-y,-z'
'-x,y,-z'
'x,-y,z'
'x+1/2,y+1/2,z'
'-x+1/2,-y+1/2,-z'
'-x+1/2,y+1/2,-z'
'x+1/2,-y+1/2,z'
loop_
_atom_site_label
_atom_site_type_symbol
_atom_site_fract_x
_atom_site_fract_y
_atom_site_fract_z
Cu1 Cu 0.000 0.000 0.000
Ir1 Ir 0.170 0.500 0.223
Rh1 Rh 0.001 0.000 0.331
Rh2 Rh 0.166 0.500 0.892
Rh3 Rh 0.168 0.500 0.556

***

[2]
# BPOs2 (PBE-GGA, optimized geometry)
# ΔE to the lowest computed polymorph	0.000	eV/atom
# formation energy	190	meV per atom
# total magnetic moment	0.0	μB per cell
data_BPOs2
_chemical_formula_sum 'B4 P4 Os8'
_symmetry_space_group_name_H-M 'F m -3 m'
_symmetry_Int_Tables_number 225
_symmetry_space_group_name_Hall '-F 4 2 3'
_cell_length_a 5.690
_cell_length_b 5.690
_cell_length_c 5.690
_cell_angle_alpha 90.00
_cell_angle_beta 90.00
_cell_angle_gamma 90.00
loop_
_atom_site_label
_atom_site_type_symbol
_atom_site_fract_x
_atom_site_fract_y
_atom_site_fract_z
B1 B 0.000 0.000 0.000
P1 P 0.000 0.000 0.500
Os1 Os 0.250 0.250 0.250

***

[3]
# Sr7In2Au2 (PBE-GGA, optimized geometry)
# formation energy	-384	meV per atom
# total magnetic moment	0.0	μB per cell
data_Sr7In2Au2
_chemical_formula_sum 'Sr14 In4 Au4'
_symmetry_space_group_name_H-M 'C m m m'
_symmetry_Int_Tables_number 65
_symmetry_space_group_name_Hall '-C 2 2'
_cell_length_a 8.842
_cell_length_b 12.406
_cell_length_c 7.958
_cell_angle_alpha 90.00
_cell_angle_beta 90.00
_cell_angle_gamma 90.00
loop_
_atom_site_label
_atom_site_type_symbol
_atom_site_fract_x
_atom_site_fract_y
_atom_site_fract_z
Sr1 Sr 0.000 0.000 0.000
Sr2 Sr 0.000 0.500 0.251
Sr3 Sr 0.250 0.250 0.264
In1 In 0.166 0.000 0.500
Au1 Au 0.000 0.295 0.000

***

Question: Which formula does entry 2 have?
Answer: BPOs2

***

Question: Look up the total magnetic moment of the third one.
Answer: 0.0 μB per cell